# 1
Compound: K2S
Source: Alexandria
Functional: GGA-PBEsol
Structure: optimized geometry

Summary:
Crystal system: cubic

Cell and atoms, written as CIF:
```
data_K2S
_chemical_formula_sum 'K8 S4'
_space_group_name_H-M_alt 'F m -3 m'
_space_group_IT_number 225
_space_group_name_Hall '-F 4 2 3'
_cell_length_a 7.3275
_cell_length_b 7.3275
_cell_length_c 7.3275
_cell_angle_alpha 90.00
_cell_angle_beta 90.00
_cell_angle_gamma 90.00
loop_
_atom_site_label
_atom_site_fract_x
_atom_site_fract_y
_atom_site_fract_z
_atom_site_occupancy
K1 0.2500 0.2500 0.2500 1
S1 0.0000 0.0000 0.0000 1
```

# 2
Compound: Hf2InSiPt
Source: Alexandria
Functional: GGA-PBEsol
Structure: optimized geometry

Summary:
Crystal system: tetragonal

Cell and atoms, written as CIF:
```
data_Hf2InSiPt
_chemical_formula_sum 'Hf2 In1 Si1 Pt1'
_space_group_name_H-M_alt 'P 4/m m m'
_space_group_IT_number 123
_space_group_name_Hall '-P 4 2'
_cell_length_a 4.8419
_cell_length_b 4.8419
_cell_length_c 4.4612
_cell_angle_alpha 90.00
_cell_angle_beta 90.00
_cell_angle_gamma 90.00
loop_
_atom_site_label
_atom_site_fract_x
_atom_site_fract_y
_atom_site_fract_z
_atom_site_occupancy
Hf1 0.0000 0.5000 0.0000 1
In1 0.0000 0.0000 0.5000 1
Si1 0.5000 0.5000 0.0000 1
Pt1 0.5000 0.5000 0.5000 1
```

# 3
Compound: ReHgTe2
Source: Alexandria
Functional: GGA-PBEsol
Structure: optimized geometry

Summary:
Crystal system: trigonal

Cell and atoms, written as CIF:
```
data_ReHgTe2
_chemical_formula_sum 'Re3 Hg3 Te6'
_space_group_name_H-M_alt 'R -3 m'
_space_group_IT_number 166
_space_group_name_Hall '-R 3 2"'
_cell_length_a 3.0477
_cell_length_b 3.0477
_cell_length_c 35.3233
_cell_angle_alpha 90.00
_cell_angle_beta 90.00
_cell_angle_gamma 120.00
loop_
_atom_site_label
_atom_site_fract_x
_atom_site_fract_y
_atom_site_fract_z
_atom_site_occupancy
Re1 0.0000 0.0000 0.0000 1
Hg1 0.0000 0.0000 0.5000 1
Te1 0.0000 0.0000 0.0741 1
```

# 4
Compound: La2NbPPd
Source: Alexandria
Functional: GGA-PBEsol
Structure: optimized geometry

Summary:
Crystal system: tetragonal

Cell and atoms, written as CIF:
```
data_La2NbPPd
_chemical_formula_sum 'La2 Nb1 P1 Pd1'
_space_group_name_H-M_alt 'P 4/m m m'
_space_group_IT_number 123
_space_group_name_Hall '-P 4 2'
_cell_length_a 5.5756
_cell_length_b 5.5756
_cell_length_c 4.3728
_cell_angle_alpha 90.00
_cell_angle_beta 90.00
_cell_angle_gamma 90.00
loop_
_atom_site_label
_atom_site_fract_x
_atom_site_fract_y
_atom_site_fract_z
_atom_site_occupancy
La1 0.0000 0.5000 0.0000 1
Nb1 0.0000 0.0000 0.5000 1
P1 0.5000 0.5000 0.5000 1
Pd1 0.5000 0.5000 0.0000 1
```

# 5
Compound: Be2ReMo
Source: Alexandria
Functional: GGA-PBEsol
Structure: optimized geometry

Summary:
Crystal system: orthorhombic

Cell and atoms, written as CIF:
```
data_Be2ReMo
_chemical_formula_sum 'Be4 Re2 Mo2'
_space_group_name_H-M_alt 'C m m 2'
_space_group_IT_number 35
_space_group_name_Hall 'C 2 -2'
_cell_length_a 3.3698
_cell_length_b 4.1602
_cell_length_c 6.6371
_cell_angle_alpha 90.00
_cell_angle_beta 90.00
_cell_angle_gamma 90.00
loop_
_atom_site_label
_atom_site_fract_x
_atom_site_fract_y
_atom_site_fract_z
_atom_site_occupancy
Be1 0.0000 0.0000 0.0000 1
Be2 0.0000 0.5000 0.1727 1
Re1 0.0000 0.0000 0.4180 1
Mo1 0.0000 0.5000 0.7462 1
```

# 6
Compound: K4Hf5O12
Source: Alexandria
Functional: GGA-PBEsol
Structure: optimized geometry

Summary:
Crystal system: trigonal

Cell and atoms, written as CIF:
```
data_K4Hf5O12
_chemical_formula_sum 'K4 Hf5 O12'
_space_group_name_H-M_alt 'P -3 m 1'
_space_group_IT_number 164
_space_group_name_Hall '-P 3 2"'
_cell_length_a 5.7542
_cell_length_b 5.7542
_cell_length_c 10.3198
_cell_angle_alpha 90.00
_cell_angle_beta 90.00
_cell_angle_gamma 120.00
loop_
_atom_site_label
_atom_site_fract_x
_atom_site_fract_y
_atom_site_fract_z
_atom_site_occupancy
K1 0.0000 0.0000 0.1783 1
K2 0.3333 0.6667 0.6110 1
Hf1 0.0000 0.0000 0.5000 1
Hf2 0.3333 0.6667 0.2824 1
Hf3 0.3333 0.6667 0.9767 1
O1 0.0200 0.5100 0.1226 1
O2 0.1649 0.3298 0.3786 1
```

# 7
Compound: As2PPt
Source: Alexandria
Functional: GGA-PBEsol
Structure: optimized geometry

Summary:
Crystal system: tetragonal

Cell and atoms, written as CIF:
```
data_As2PPt
_chemical_formula_sum 'As8 P4 Pt4'
_space_group_name_H-M_alt 'I -4 2 d'
_space_group_IT_number 122
_space_group_name_Hall 'I -4 2bw'
_cell_length_a 5.5970
_cell_length_b 5.5970
_cell_length_c 10.9382
_cell_angle_alpha 90.00
_cell_angle_beta 90.00
_cell_angle_gamma 90.00
loop_
_atom_site_label
_atom_site_fract_x
_atom_site_fract_y
_atom_site_fract_z
_atom_site_occupancy
As1 0.2467 0.2500 0.1250 1
P1 0.0000 0.0000 0.5000 1
Pt1 0.0000 0.0000 0.0000 1
```

# 8
Compound: Mn2SiPb
Source: Alexandria
Functional: GGA-PBEsol
Structure: optimized geometry

Summary:
Crystal system: orthorhombic

Cell and atoms, written as CIF:
```
data_Mn2SiPb
_chemical_formula_sum 'Mn4 Si2 Pb2'
_space_group_name_H-M_alt 'I m m m'
_space_group_IT_number 71
_space_group_name_Hall '-I 2 2'
_cell_length_a 3.5749
_cell_length_b 4.6900
_cell_length_c 7.1823
_cell_angle_alpha 90.00
_cell_angle_beta 90.00
_cell_angle_gamma 90.00
loop_
_atom_site_label
_atom_site_fract_x
_atom_site_fract_y
_atom_site_fract_z
_atom_site_occupancy
Mn1 0.0000 0.0000 0.2091 1
Si1 0.0000 0.5000 0.5000 1
Pb1 0.0000 0.5000 0.0000 1
```

# 9
Compound: HfIrI2N
Source: Alexandria
Functional: GGA-PBEsol
Structure: optimized geometry

Summary:
Crystal system: tetragonal

Cell and atoms, written as CIF:
```
data_HfIrI2N
_chemical_formula_sum 'Hf1 Ir1 I2 N1'
_space_group_name_H-M_alt 'P 4/m m m'
_space_group_IT_number 123
_space_group_name_Hall '-P 4 2'
_cell_length_a 5.6174
_cell_length_b 5.6174
_cell_length_c 3.8271
_cell_angle_alpha 90.00
_cell_angle_beta 90.00
_cell_angle_gamma 90.00
loop_
_atom_site_label
_atom_site_fract_x
_atom_site_fract_y
_atom_site_fract_z
_atom_site_occupancy
Hf1 0.0000 0.0000 0.0000 1
Ir1 0.5000 0.5000 0.5000 1
I1 0.0000 0.5000 0.0000 1
N1 0.0000 0.0000 0.5000 1
```

# 10
Compound: CaEuHg2
Source: Alexandria
Functional: GGA-PBEsol
Structure: optimized geometry

Summary:
Crystal system: cubic

Cell and atoms, written as CIF:
```
data_CaEuHg2
_chemical_formula_sum 'Ca4 Eu4 Hg8'
_space_group_name_H-M_alt 'F m -3 m'
_space_group_IT_number 225
_space_group_name_Hall '-F 4 2 3'
_cell_length_a 7.4982
_cell_length_b 7.4982
_cell_length_c 7.4982
_cell_angle_alpha 90.00
_cell_angle_beta 90.00
_cell_angle_gamma 90.00
loop_
_atom_site_label
_atom_site_fract_x
_atom_site_fract_y
_atom_site_fract_z
_atom_site_occupancy
Ca1 0.0000 0.0000 0.0000 1
Eu1 0.0000 0.0000 0.5000 1
Hg1 0.2500 0.2500 0.2500 1
```

# 11
Compound: Fe2CoIr
Source: Alexandria
Functional: GGA-PBEsol
Structure: optimized geometry

Summary:
Crystal system: orthorhombic

Cell and atoms, written as CIF:
```
data_Fe2CoIr
_chemical_formula_sum 'Fe4 Co2 Ir2'
_space_group_name_H-M_alt 'C m m m'
_space_group_IT_number 65
_space_group_name_Hall '-C 2 2'
_cell_length_a 5.0726
_cell_length_b 7.1086
_cell_length_c 2.5862
_cell_angle_alpha 90.00
_cell_angle_beta 90.00
_cell_angle_gamma 90.00
loop_
_atom_site_label
_atom_site_fract_x
_atom_site_fract_y
_atom_site_fract_z
_atom_site_occupancy
Fe1 0.2500 0.2500 0.0000 1
Co1 0.0000 0.0000 0.5000 1
Ir1 0.0000 0.5000 0.5000 1
```

# 12
Compound: Ru5Pt
Source: Alexandria
Functional: GGA-PBEsol
Structure: optimized geometry

Summary:
Crystal system: monoclinic

Cell and atoms, written as CIF:
```
data_Ru5Pt
_chemical_formula_sum 'Ru10 Pt2'
_space_group_name_H-M_alt 'C 1 m 1'
_space_group_IT_number 8
_space_group_name_Hall 'C -2y'
_cell_length_a 9.7871
_cell_length_b 2.6972
_cell_length_c 6.3450
_cell_angle_alpha 90.00
_cell_angle_beta 103.83
_cell_angle_gamma 90.00
loop_
_atom_site_label
_atom_site_fract_x
_atom_site_fract_y
_atom_site_fract_z
_atom_site_occupancy
Ru1 0.0000 0.0000 0.0000 1
Ru2 0.0545 0.0000 0.6018 1
Ru3 0.1606 0.5000 0.3214 1
Ru4 0.2171 0.5000 0.9428 1
Ru5 0.3858 0.0000 0.2696 1
Pt1 0.3307 0.0000 0.6620 1
```

# 13
Compound: Zr3GaS
Source: Alexandria
Functional: GGA-PBEsol
Structure: optimized geometry

Summary:
Crystal system: cubic

Cell and atoms, written as CIF:
```
data_Zr3GaS
_chemical_formula_sum 'Zr3 Ga1 S1'
_space_group_name_H-M_alt 'P m -3 m'
_space_group_IT_number 221
_space_group_name_Hall '-P 4 2 3'
_cell_length_a 4.9311
_cell_length_b 4.9311
_cell_length_c 4.9311
_cell_angle_alpha 90.00
_cell_angle_beta 90.00
_cell_angle_gamma 90.00
loop_
_atom_site_label
_atom_site_fract_x
_atom_site_fract_y
_atom_site_fract_z
_atom_site_occupancy
Zr1 0.0000 0.0000 0.5000 1
Ga1 0.0000 0.0000 0.0000 1
S1 0.5000 0.5000 0.5000 1
```

# 14
Compound: MgIn2W
Source: Alexandria
Functional: GGA-PBEsol
Structure: optimized geometry

Summary:
Crystal system: monoclinic

Cell and atoms, written as CIF:
```
data_MgIn2W
_chemical_formula_sum 'Mg2 In4 W2'
_space_group_name_H-M_alt 'C 1 2/m 1'
_space_group_IT_number 12
_space_group_name_Hall '-C 2y'
_cell_length_a 6.0166
_cell_length_b 9.3860
_cell_length_c 2.9562
_cell_angle_alpha 90.00
_cell_angle_beta 112.46
_cell_angle_gamma 90.00
loop_
_atom_site_label
_atom_site_fract_x
_atom_site_fract_y
_atom_site_fract_z
_atom_site_occupancy
Mg1 0.0000 0.0000 0.0000 1
In1 0.2500 0.2500 0.5000 1
W1 0.0000 0.5000 0.0000 1
```

# 15
Compound: PrHfO4
Source: Alexandria
Functional: GGA-PBEsol
Structure: optimized geometry

Summary:
Crystal system: tetragonal

Cell and atoms, written as CIF:
```
data_PrHfO4
_chemical_formula_sum 'Pr4 Hf4 O16'
_space_group_name_H-M_alt 'I 41/a'
_space_group_IT_number 88
_cell_length_a 5.4143
_cell_length_b 5.4143
_cell_length_c 10.8499
_cell_angle_alpha 90.00
_cell_angle_beta 90.00
_cell_angle_gamma 90.00
loop_
_space_group_symop_operation_xyz
'x,y,z'
'-x,-y,-z'
'-y+3/4,x+1/4,z+1/4'
'y+3/4,-x+1/4,-z+1/4'
'-x+1/2,-y,z+1/2'
'x+1/2,y,-z+1/2'
'y+3/4,-x+3/4,z+3/4'
'-y+3/4,x+3/4,-z+3/4'
'x+1/2,y+1/2,z+1/2'
'-x+1/2,-y+1/2,-z+1/2'
'-y+1/4,x+3/4,z+3/4'
'y+1/4,-x+3/4,-z+3/4'
'-x,-y+1/2,z'
'x,y+1/2,-z'
'y+1/4,-x+1/4,z+1/4'
'-y+1/4,x+1/4,-z+1/4'
loop_
_atom_site_label
_atom_site_fract_x
_atom_site_fract_y
_atom_site_fract_z
_atom_site_occupancy
Pr1 0.0000 0.2500 0.1250 1
Hf1 0.0000 0.2500 0.6250 1
O1 0.2069 0.0187 0.7256 1
```

# 16
Compound: CoSb2RuPb
Source: Alexandria
Functional: GGA-PBEsol
Structure: optimized geometry

Summary:
Crystal system: tetragonal

Cell and atoms, written as CIF:
```
data_CoSb2RuPb
_chemical_formula_sum 'Co1 Sb2 Ru1 Pb1'
_space_group_name_H-M_alt 'P 4/m m m'
_space_group_IT_number 123
_space_group_name_Hall '-P 4 2'
_cell_length_a 4.7750
_cell_length_b 4.7750
_cell_length_c 4.7760
_cell_angle_alpha 90.00
_cell_angle_beta 90.00
_cell_angle_gamma 90.00
loop_
_atom_site_label
_atom_site_fract_x
_atom_site_fract_y
_atom_site_fract_z
_atom_site_occupancy
Co1 0.0000 0.0000 0.0000 1
Sb1 0.0000 0.5000 0.0000 1
Ru1 0.0000 0.0000 0.5000 1
Pb1 0.5000 0.5000 0.5000 1
```

# 17
Compound: KNb2AlSe
Source: Alexandria
Functional: GGA-PBEsol
Structure: optimized geometry

Summary:
Crystal system: tetragonal

Cell and atoms, written as CIF:
```
data_KNb2AlSe
_chemical_formula_sum 'K1 Nb2 Al1 Se1'
_space_group_name_H-M_alt 'P 4/m m m'
_space_group_IT_number 123
_space_group_name_Hall '-P 4 2'
_cell_length_a 4.8752
_cell_length_b 4.8752
_cell_length_c 5.2870
_cell_angle_alpha 90.00
_cell_angle_beta 90.00
_cell_angle_gamma 90.00
loop_
_atom_site_label
_atom_site_fract_x
_atom_site_fract_y
_atom_site_fract_z
_atom_site_occupancy
K1 0.0000 0.0000 0.0000 1
Nb1 0.0000 0.5000 0.5000 1
Al1 0.5000 0.5000 0.5000 1
Se1 0.5000 0.5000 0.0000 1
```

# 18
Compound: PtC2Cl
Source: Alexandria
Functional: GGA-PBEsol
Structure: optimized geometry

Summary:
Crystal system: cubic

Cell and atoms, written as CIF:
```
data_PtC2Cl
_chemical_formula_sum 'Pt4 C8 Cl4'
_space_group_name_H-M_alt 'F m -3 m'
_space_group_IT_number 225
_space_group_name_Hall '-F 4 2 3'
_cell_length_a 5.6373
_cell_length_b 5.6373
_cell_length_c 5.6373
_cell_angle_alpha 90.00
_cell_angle_beta 90.00
_cell_angle_gamma 90.00
loop_
_atom_site_label
_atom_site_fract_x
_atom_site_fract_y
_atom_site_fract_z
_atom_site_occupancy
Pt1 0.0000 0.0000 0.0000 1
C1 0.2500 0.2500 0.2500 1
Cl1 0.0000 0.0000 0.5000 1
```

# 19
Compound: TlFe2Os
Source: Alexandria
Functional: GGA-PBEsol
Structure: optimized geometry

Summary:
Crystal system: monoclinic

Cell and atoms, written as CIF:
```
data_TlFe2Os
_chemical_formula_sum 'Tl2 Fe4 Os2'
_space_group_name_H-M_alt 'C 1 m 1'
_space_group_IT_number 8
_space_group_name_Hall 'C -2y'
_cell_length_a 8.7429
_cell_length_b 2.8353
_cell_length_c 4.7556
_cell_angle_alpha 90.00
_cell_angle_beta 102.95
_cell_angle_gamma 90.00
loop_
_atom_site_label
_atom_site_fract_x
_atom_site_fract_y
_atom_site_fract_z
_atom_site_occupancy
Tl1 0.0000 0.0000 0.0000 1
Fe1 0.0096 0.5000 0.5114 1
Fe2 0.2384 0.0000 0.7302 1
Os1 0.2680 0.5000 0.3189 1
```

# 20
Compound: Os2RuRh
Source: Alexandria
Functional: GGA-PBEsol
Structure: optimized geometry

Summary:
Crystal system: orthorhombic

Cell and atoms, written as CIF:
```
data_Os2RuRh
_chemical_formula_sum 'Os4 Ru2 Rh2'
_space_group_name_H-M_alt 'C m m m'
_space_group_IT_number 65
_space_group_name_Hall '-C 2 2'
_cell_length_a 5.3532
_cell_length_b 7.6363
_cell_length_c 2.6724
_cell_angle_alpha 90.00
_cell_angle_beta 90.00
_cell_angle_gamma 90.00
loop_
_atom_site_label
_atom_site_fract_x
_atom_site_fract_y
_atom_site_fract_z
_atom_site_occupancy
Os1 0.2500 0.2500 0.0000 1
Ru1 0.0000 0.0000 0.5000 1
Rh1 0.0000 0.5000 0.5000 1
```

Number 1: E_tot -3.2854 eV per atom, V 393.4 Å³/cell, N(E_F) 0.00 states/eV per atom. Number 2: E_tot -7.3156 eV per atom, V 104.6 Å³/cell, N(E_F) 0.59 states/eV per atom. Number 3: E_tot -4.5425 eV per atom, V 284.1 Å³/cell, N(E_F) 0.87 states/eV per atom. Number 4: E_tot -6.3778 eV per atom, V 135.9 Å³/cell, N(E_F) 0.83 states/eV per atom. Number 5: E_tot -8.1309 eV per atom, V 93.0 Å³/cell, N(E_F) 0.65 states/eV per atom. Number 6: E_tot -8.7661 eV per atom, V 295.9 Å³/cell, N(E_F) 0.00 states/eV per atom. Number 7: E_tot -5.7194 eV per atom, V 342.7 Å³/cell, N(E_F) 0.43 states/eV per atom. Number 8: E_tot -6.9434 eV per atom, V 120.4 Å³/cell, N(E_F) 0.74 states/eV per atom. Number 9: E_tot -5.6583 eV per atom, V 120.8 Å³/cell, N(E_F) 0.93 states/eV per atom. Number 10: E_tot -4.0765 eV per atom, V 421.6 Å³/cell, N(E_F) 2.50 states/eV per atom. Number 11: E_tot -8.8303 eV per atom, V 93.3 Å³/cell, N(E_F) 1.48 states/eV per atom. Number 12: E_tot -9.6237 eV per atom, V 162.6 Å³/cell, N(E_F) 0.83 states/eV per atom. Number 13: E_tot -6.4417 eV per atom, V 119.9 Å³/cell, N(E_F) 1.51 states/eV per atom. Number 14: E_tot -4.9311 eV per atom, V 154.3 Å³/cell, N(E_F) 0.61 states/eV per atom. Number 15: E_tot -9.1562 eV per atom, V 318.1 Å³/cell, N(E_F) 0.56 states/eV per atom. Number 16: E_tot -5.5060 eV per atom, V 108.9 Å³/cell, N(E_F) 0.88 states/eV per atom. Number 17: E_tot -4.9181 eV per atom, V 125.7 Å³/cell, N(E_F) 1.26 states/eV per atom. Number 18: E_tot -4.4100 eV per atom, V 179.1 Å³/cell, N(E_F) 0.59 states/eV per atom. Number 19: E_tot -7.6196 eV per atom, V 114.9 Å³/cell, N(E_F) 0.96 states/eV per atom. Number 20: E_tot -10.5837 eV per atom, V 109.2 Å³/cell, N(E_F) 0.85 states/eV per atom.